Here is a geometry-optimized TiIBrO2 structure from the Alexandria database. Energies are from GGA-PBE.

For the calculated volume, the calculation gives 104.6 Å³/cell. Its total energy is -3.68 eV/atom. The raw formation energy comes out at 0.524 eV/atom.

The structure belongs to space group P4/mmm (No. 123); the cell edges are 3.990, 3.990 and 6.574 Å and the angles 90.00°, 90.00° and 90.00°. The asymmetric unit holds Ti at (0.000, 0.000, 0.000), I at (0.500, 0.500, 0.000), Br at (0.500, 0.500, 0.500) and O at (0.000, 0.500, 0.500).

***

Here is a geometry-optimized SbPdPb2 structure from the Alexandria database. Energies are from GGA-PBE.

For the calculated volume, the calculation gives 566.9 Å³/cell. Its total energy is -4.06 eV/atom. The raw formation energy comes out at 0.118 eV/atom.

The structure belongs to space group I-42d (No. 122); the cell edges are 6.470, 6.470 and 13.543 Å and the angles 90.00°, 90.00° and 90.00°. The asymmetric unit holds Sb at (0.000, 0.000, 0.000), Pd at (0.000, 0.000, 0.500) and Pb at (0.206, 0.250, 0.625).

***

Here is a geometry-optimized HgP2Pb structure from the Alexandria database. Energies are from GGA-PBE.

For the calculated volume, the calculation gives 97.9 Å³/cell. Its total energy is -3.58 eV/atom. The value obtained for the calculated formation energy is 11.96 kJ per mole of atoms.

The structure belongs to space group Pm (No. 6); the cell edges are 4.650, 3.296 and 6.666 Å and the angles 90.00°, 106.63° and 90.00°. The asymmetric unit holds Hg at (0.000, 0.000, 0.000), P at (0.122, 0.000, 0.625), P at (0.442, 0.500, 0.658) and Pb at (0.611, 0.500, 0.272).

***

Here is a geometry-optimized Ca2WBr structure from the Alexandria database. Energies are from GGA-PBE.

For the calculated volume, the calculation gives 224.9 Å³/cell. Its total energy is -4.03 eV/atom. The raw formation energy comes out at 0.623 eV/atom.

The structure belongs to space group I-4m2 (No. 119); the cell edges are 4.357, 4.357 and 11.851 Å and the angles 90.00°, 90.00° and 90.00°. The asymmetric unit holds Ca at (0.000, 0.000, 0.000), Ca at (0.000, 0.500, 0.250), W at (0.000, 0.500, 0.750) and Br at (0.000, 0.000, 0.500).